Computed, not measured: a geometry-optimized BaNb2Te structure at the PBE-GGA level of DFT.

Summary:
D(E_F): 5.5 states/eV per cell
Symmetry: I-42d, No. 122
V: 227.8 Å³/cell
E_tot: -44.0 eV for the cell shown

abc: 8.5314 8.5314 6.7960
angles: 51.12 51.12 90.00
Fractional coordinates of all 8 atoms:
1 Nb 0.1956 0.6250 0.2500
2 Ba 0.0000 0.0000 0.0000
3 Ba 0.7500 0.2500 0.5000
4 Te 0.5000 0.5000 0.0000
5 Nb 0.3750 0.4456 0.7500
6 Nb 0.8750 0.8044 0.7500
7 Nb 0.5544 0.1250 0.2500
8 Te 0.2500 0.7500 0.5000

Computed, not measured: a geometry-optimized BaNbTe3 structure at the PBE-GGA level of DFT.

Summary:
D(E_F): 2.5 states/eV per cell
Polymorph energy (0 for the lowest one): 0.000 eV/atom
Symmetry: Pm-3m, No. 221
V: 170.3 Å³/cell
E_tot: -24.9 eV for the cell shown

abc: 5.5434 5.5434 5.5434
angles: 90.00 90.00 90.00
Fractional coordinates of all 5 atoms:
1 Te 0.0000 0.0000 0.5000
2 Te 0.0000 0.5000 0.0000
3 Nb 0.0000 0.0000 0.0000
4 Ba 0.5000 0.5000 0.5000
5 Te 0.5000 0.0000 0.0000

Computed, not measured: a geometry-optimized BaNb2TeW structure at the PBE-GGA level of DFT.

Summary:
D(E_F): 4.4 states/eV per cell
Symmetry: P4/mmm, No. 123
V: 153.2 Å³/cell
E_tot: -33.2 eV for the cell shown

abc: 4.8994 6.3812 4.8994
angles: 90.00 90.00 90.00
Fractional coordinates of all 5 atoms:
1 Ba 0.0000 0.5000 0.0000
2 Nb 0.5000 0.0000 0.0000
3 W 0.0000 0.0000 0.0000
4 Te 0.5000 0.5000 0.5000
5 Nb 0.0000 0.0000 0.5000